i) Computed, not measured: a relaxed structure of Sr5Hg at the PBE level of DFT.

a b c (Å): 7.4541 7.4541 10.0179
angles (deg): 111.04 111.04 33.07
Sites, in units of the cell vectors:
Sr: 0.0000 0.0000 0.0000
Sr: 0.3293 0.3293 0.2120
Sr: 0.3717 0.3717 0.6291
Sr: 0.6283 0.6283 0.3709
Sr: 0.6707 0.6707 0.7880
Hg: 0.0000 0.0000 0.5000


ii) Computed, not measured: a relaxed structure of Sr5Hg at the PBE level of DFT.

a b c (Å): 4.1095 4.1095 16.6146
angles (deg): 90.00 90.00 90.00
Sites, in units of the cell vectors:
Sr: 0.0000 0.0000 0.0000
Sr: 0.0000 0.0000 0.3857
Sr: 0.0000 0.0000 0.6143
Sr: 0.5000 0.5000 0.1918
Sr: 0.5000 0.5000 0.8082
Hg: 0.5000 0.5000 0.5000


Relative stability in kJ/mol of atoms, measured from the most stable structure: i) 2.7; ii) 0.0


i) Computed, not measured: a relaxed structure of SrHg7 at the PBE level of DFT.

a b c (Å): 6.8553 6.8553 6.8553
angles (deg): 60.00 60.00 60.00
Sites, in units of the cell vectors:
Sr: 0.0000 0.0000 0.0000
Hg: 0.0000 0.0000 0.5000
Hg: 0.0000 0.5000 0.0000
Hg: 0.0000 0.5000 0.5000
Hg: 0.5000 0.0000 0.0000
Hg: 0.5000 0.0000 0.5000
Hg: 0.5000 0.5000 0.0000
Hg: 0.5000 0.5000 0.5000


ii) Computed, not measured: a relaxed structure of SrHg7 at the PBE level of DFT.

a b c (Å): 9.4041 9.4041 9.4041
angles (deg): 149.01 149.01 44.40
Sites, in units of the cell vectors:
Sr: 0.0000 0.0000 0.0000
Hg: 0.1331 0.6331 0.5000
Hg: 0.2488 0.2488 0.0000
Hg: 0.3669 0.8669 0.5000
Hg: 0.5000 0.5000 0.0000
Hg: 0.6331 0.1331 0.5000
Hg: 0.7512 0.7512 0.0000
Hg: 0.8669 0.3669 0.5000


Relative stability in kJ/mol of atoms, measured from the most stable structure: i) 3.6; ii) 0.0